P.
{
  "formula": "Pb2SeF2",
  "functional": "GGA-PBE",
  "state": "relaxed",
  "lattice_angstrom": [[8.9807, 0.0000, 0.0000], [0.0000, 7.8706, 0.0000], [-2.4823, 0.0000, 6.5944]],
  "species": ["Pb", "Pb", "Pb", "Pb", "Pb", "Pb", "Pb", "Pb", "Se", "Se", "Se", "Se", "F", "F", "F", "F", "F", "F", "F", "F"],
  "frac_coords": [[0.0125, 0.1575, 0.2503], [0.0125, 0.3425, 0.7503], [0.4141, 0.5877, 0.7070], [0.4141, 0.9123, 0.2070], [0.5859, 0.0877, 0.7930], [0.5859, 0.4123, 0.2930], [0.9875, 0.6575, 0.2497], [0.9875, 0.8425, 0.7497], [0.2239, 0.6017, 0.0512], [0.2239, 0.8983, 0.5512], [0.7761, 0.1017, 0.4488], [0.7761, 0.3983, 0.9488], [0.1407, 0.0565, 0.9827], [0.1407, 0.4435, 0.4827], [0.4630, 0.1954, 0.0151], [0.4630, 0.3046, 0.5151], [0.5370, 0.6954, 0.4849], [0.5370, 0.8046, 0.9849], [0.8593, 0.5565, 0.5173], [0.8593, 0.9435, 0.0173]]
}

***

Q.
{
  "formula": "Pb2SeF2",
  "functional": "GGA-PBE",
  "state": "relaxed",
  "lattice_angstrom": [[5.2981, -4.2305, 0.0000], [5.2981, 4.2305, 0.0000], [-5.1105, 0.0000, 5.3998]],
  "species": ["Pb", "Pb", "Pb", "Pb", "Se", "Se", "F", "F", "F", "F"],
  "frac_coords": [[0.0350, 0.3483, 0.1972], [0.3483, 0.0350, 0.6972], [0.6517, 0.9650, 0.3028], [0.9650, 0.6517, 0.8028], [0.3575, 0.6425, 0.2500], [0.6425, 0.3575, 0.7500], [0.0274, 0.2409, 0.5204], [0.2409, 0.0274, 0.0204], [0.7591, 0.9726, 0.9796], [0.9726, 0.7591, 0.4796]]
}

***

Winner for stability: Q

***

P.
{
  "formula": "PbSeF3",
  "functional": "GGA-PBE",
  "state": "relaxed",
  "lattice_angstrom": [[4.7209, 0.0000, 0.0000], [0.0000, 4.7209, 0.0000], [0.0000, 0.0000, 4.7209]],
  "species": ["Pb", "Se", "F", "F", "F"],
  "frac_coords": [[0.0000, 0.0000, 0.0000], [0.5000, 0.5000, 0.5000], [0.0000, 0.0000, 0.5000], [0.0000, 0.5000, 0.0000], [0.5000, 0.0000, 0.0000]]
}

***

Q.
{
  "formula": "PbSeF3",
  "functional": "GGA-PBE",
  "state": "relaxed",
  "lattice_angstrom": [[4.5390, 0.0000, 0.0000], [0.0000, 4.5390, 0.0000], [0.0000, 0.0000, 4.5390]],
  "species": ["Pb", "Se", "F", "F", "F"],
  "frac_coords": [[0.0000, 0.0000, 0.0000], [0.5000, 0.5000, 0.5000], [0.0000, 0.5000, 0.5000], [0.5000, 0.0000, 0.5000], [0.5000, 0.5000, 0.0000]]
}

***

Winner for stability: P

***

P.
{
  "formula": "PbSeF",
  "functional": "GGA-PBE",
  "state": "relaxed",
  "lattice_angstrom": [[4.3942, 0.0000, 0.0000], [-1.4875, 5.0671, 0.0000], [-1.6163, -0.6900, 6.7714]],
  "species": ["Pb", "Pb", "Se", "Se", "F", "F"],
  "frac_coords": [[0.1136, 0.3022, 0.2876], [0.8864, 0.6978, 0.7124], [0.4754, 0.7124, 0.0558], [0.5246, 0.2876, 0.9442], [0.2967, 0.6855, 0.5262], [0.7033, 0.3145, 0.4738]]
}

***

Q.
{
  "formula": "PbSeF",
  "functional": "GGA-PBE",
  "state": "relaxed",
  "lattice_angstrom": [[4.3262, 0.0000, 0.0000], [0.0000, 5.0305, 0.0000], [-2.1591, 0.0000, 7.0852]],
  "species": ["Pb", "Pb", "Se", "Se", "F", "F"],
  "frac_coords": [[0.1678, 0.2500, 0.3349], [0.8322, 0.7500, 0.6651], [0.4762, 0.7500, 0.9531], [0.5238, 0.2500, 0.0469], [0.2078, 0.7500, 0.4149], [0.7922, 0.2500, 0.5851]]
}

***

Winner for stability: P

***

P.
{
  "formula": "Si2PbF2",
  "functional": "GGA-PBE",
  "state": "relaxed",
  "lattice_angstrom": [[-1.6840, 1.6840, 9.0107], [1.6840, -1.6840, 9.0107], [1.6840, 1.6840, -9.0107]],
  "species": ["Si", "Si", "Pb", "F", "F"],
  "frac_coords": [[0.2500, 0.7500, 0.5000], [0.7500, 0.2500, 0.5000], [0.0000, 0.0000, 0.0000], [0.4309, 0.4309, 0.0000], [0.5691, 0.5691, 0.0000]]
}

***

Q.
{
  "formula": "Si2PbF2",
  "functional": "GGA-PBE",
  "state": "relaxed",
  "lattice_angstrom": [[8.3479, 0.0000, 0.0000], [0.0000, 8.3479, 0.0000], [0.0000, 0.0000, 2.8465]],
  "species": ["Si", "Si", "Si", "Si", "Pb", "Pb", "F", "F", "F", "F"],
  "frac_coords": [[0.2355, 0.2645, 0.0000], [0.2645, 0.7645, 0.0000], [0.7355, 0.2355, 0.0000], [0.7645, 0.7355, 0.0000], [0.0000, 0.0000, 0.5000], [0.5000, 0.5000, 0.5000], [0.1157, 0.3843, 0.5000], [0.3843, 0.8843, 0.5000], [0.6157, 0.1157, 0.5000], [0.8843, 0.6157, 0.5000]]
}

***

Winner for stability: P

***

P.
{
  "formula": "SiPb2F",
  "functional": "GGA-PBE",
  "state": "relaxed",
  "lattice_angstrom": [[-2.8497, 2.8497, 7.0763], [2.8497, -2.8497, 7.0763], [2.8497, 2.8497, -7.0763]],
  "species": ["Si", "Si", "Pb", "Pb", "Pb", "Pb", "F", "F"],
  "frac_coords": [[0.0000, 0.0000, 0.0000], [0.7500, 0.2500, 0.5000], [0.1699, 0.6250, 0.0449], [0.3750, 0.4199, 0.5449], [0.5801, 0.1250, 0.9551], [0.8750, 0.8301, 0.4551], [0.2500, 0.7500, 0.5000], [0.5000, 0.5000, 0.0000]]
}

***

Q.
{
  "formula": "SiPb2F",
  "functional": "GGA-PBE",
  "state": "relaxed",
  "lattice_angstrom": [[0.0000, 3.5047, 3.5047], [3.5047, 0.0000, 3.5047], [3.5047, 3.5047, 0.0000]],
  "species": ["Si", "Pb", "Pb", "F"],
  "frac_coords": [[0.0000, 0.0000, 0.0000], [0.2500, 0.2500, 0.2500], [0.7500, 0.7500, 0.7500], [0.5000, 0.5000, 0.5000]]
}

***

Winner for stability: Q

***

P.
{
  "formula": "SiPbF2",
  "functional": "GGA-PBE",
  "state": "relaxed",
  "lattice_angstrom": [[1.5866, 0.9160, 8.0716], [-1.5866, 0.9160, 8.0716], [0.0000, -1.8320, 8.0716]],
  "species": ["Si", "Pb", "F", "F"],
  "frac_coords": [[0.0000, 0.0000, 0.0000], [0.5000, 0.5000, 0.5000], [0.0753, 0.0753, 0.0753], [0.9247, 0.9247, 0.9247]]
}

***

Q.
{
  "formula": "SiPbF2",
  "functional": "GGA-PBE",
  "state": "relaxed",
  "lattice_angstrom": [[-2.0840, 2.0840, 7.9895], [2.0840, -2.0840, 7.9895], [2.0840, 2.0840, -7.9895]],
  "species": ["Si", "Si", "Pb", "Pb", "F", "F", "F", "F"],
  "frac_coords": [[0.0000, 0.0000, 0.0000], [0.7500, 0.2500, 0.5000], [0.2500, 0.7500, 0.5000], [0.5000, 0.5000, 0.0000], [0.0847, 0.6250, 0.9597], [0.3750, 0.3347, 0.4597], [0.6653, 0.1250, 0.0403], [0.8750, 0.9153, 0.5403]]
}

***

Winner for stability: P